# Nd2Tl3Cu (PBE, optimized geometry)
# DOS at the Fermi energy = 4.29 states/eV/f.u.
# total moment = 0.00 μB/cell
# energy = -3.69 eV per atom
data_Nd2Tl3Cu
_chemical_formula_sum 'Nd2 Tl3 Cu1'
_cell_length_a 3.7879
_cell_length_b 4.9072
_cell_length_c 8.5960
_cell_angle_alpha 90.00
_cell_angle_beta 90.00
_cell_angle_gamma 90.00
_space_group_name_H-M_alt 'P m m 2'
_space_group_IT_number 25
_space_group_name_Hall 'P 2 -2'
loop_
_atom_site_label
_atom_site_type_symbol
_atom_site_fract_x
_atom_site_fract_y
_atom_site_fract_z
Nd1 Nd 0.0000 0.0000 0.0000
Nd2 Nd 0.0000 0.5000 0.4781
Tl1 Tl 0.5000 0.0000 0.6253
Tl2 Tl 0.5000 0.5000 0.1733
Tl3 Tl 0.5000 0.5000 0.8241
Cu1 Cu 0.5000 0.0000 0.3090

---

# Nd2TlCu3 (PBE, optimized geometry)
# DOS at the Fermi energy = 4.73 states/eV/f.u.
# total moment = 0.00 μB/cell
# energy = -4.20 eV per atom
data_Nd2TlCu3
_chemical_formula_sum 'Nd16 Tl8 Cu24'
_cell_length_a 7.4384
_cell_length_b 9.0453
_cell_length_c 15.8426
_cell_angle_alpha 90.00
_cell_angle_beta 90.00
_cell_angle_gamma 90.00
_space_group_name_H-M_alt 'F m m m'
_space_group_IT_number 69
_space_group_name_Hall '-F 2 2'
loop_
_atom_site_label
_atom_site_type_symbol
_atom_site_fract_x
_atom_site_fract_y
_atom_site_fract_z
Nd1 Nd 0.2365 0.0000 0.0000
Nd2 Nd 0.2500 0.2500 0.2500
Tl1 Tl 0.0000 0.0000 0.3354
Cu1 Cu 0.0000 0.0000 0.1615
Cu2 Cu 0.0000 0.2405 0.0791

---

# Nd4TlCu (PBE, optimized geometry)
# DOS at the Fermi energy = 6.77 states/eV/f.u.
# total moment = 0.00 μB/cell
# energy = -4.27 eV per atom
# relative energy among the computed polymorphs = 130.4 meV per atom
data_Nd4TlCu
_chemical_formula_sum 'Nd8 Tl2 Cu2'
_cell_length_a 6.4241
_cell_length_b 9.2488
_cell_length_c 6.2322
_cell_angle_alpha 90.00
_cell_angle_beta 104.77
_cell_angle_gamma 90.00
_space_group_name_H-M_alt 'P 1 21/c 1'
_space_group_IT_number 14
_space_group_name_Hall '-P 2ybc'
loop_
_atom_site_label
_atom_site_type_symbol
_atom_site_fract_x
_atom_site_fract_y
_atom_site_fract_z
Nd1 Nd 0.0976 0.1735 0.1280
Nd2 Nd 0.3796 0.6532 0.9380
Tl1 Tl 0.5000 0.0000 0.0000
Cu1 Cu 0.0000 0.0000 0.5000

---

# NdTl2Cu (PBE, optimized geometry)
# DOS at the Fermi energy = 3.20 states/eV/f.u.
# total moment = 0.00 μB/cell
# energy = -3.49 eV per atom
# relative energy among the computed polymorphs = 22.1 meV per atom
data_NdTl2Cu
_chemical_formula_sum 'Nd1 Tl2 Cu1'
_cell_length_a 4.6954
_cell_length_b 4.6954
_cell_length_c 4.5291
_cell_angle_alpha 90.00
_cell_angle_beta 90.00
_cell_angle_gamma 90.00
_space_group_name_H-M_alt 'P 4/m m m'
_space_group_IT_number 123
_space_group_name_Hall '-P 4 2'
loop_
_atom_site_label
_atom_site_type_symbol
_atom_site_fract_x
_atom_site_fract_y
_atom_site_fract_z
Nd1 Nd 0.0000 0.0000 0.0000
Tl1 Tl 0.0000 0.5000 0.5000
Cu1 Cu 0.5000 0.5000 0.0000

---

# Nd4Tl3Cu (PBE, optimized geometry)
# DOS at the Fermi energy = 8.62 states/eV/f.u.
# total moment = 0.01 μB/cell
# energy = -4.11 eV per atom
# relative energy among the computed polymorphs = 0.0 meV per atom
data_Nd4Tl3Cu
_chemical_formula_sum 'Nd4 Tl3 Cu1'
_cell_length_a 3.6850
_cell_length_b 3.6850
_cell_length_c 16.6097
_cell_angle_alpha 90.00
_cell_angle_beta 90.00
_cell_angle_gamma 90.00
_space_group_name_H-M_alt 'P 4/m m m'
_space_group_IT_number 123
_space_group_name_Hall '-P 4 2'
loop_
_atom_site_label
_atom_site_type_symbol
_atom_site_fract_x
_atom_site_fract_y
_atom_site_fract_z
Nd1 Nd 0.0000 0.0000 0.1047
Nd2 Nd 0.0000 0.0000 0.3684
Tl1 Tl 0.5000 0.5000 0.2361
Tl2 Tl 0.5000 0.5000 0.5000
Cu1 Cu 0.5000 0.5000 0.0000

---

# Nd8Tl2Cu (PBE, optimized geometry)
# DOS at the Fermi energy = 11.20 states/eV/f.u.
# total moment = 0.00 μB/cell
# energy = -4.41 eV per atom
data_Nd8Tl2Cu
_chemical_formula_sum 'Nd16 Tl4 Cu2'
_cell_length_a 19.4494
_cell_length_b 5.2590
_cell_length_c 6.9431
_cell_angle_alpha 90.00
_cell_angle_beta 105.04
_cell_angle_gamma 90.00
_space_group_name_H-M_alt 'C 1 2/m 1'
_space_group_IT_number 12
_space_group_name_Hall '-C 2y'
loop_
_atom_site_label
_atom_site_type_symbol
_atom_site_fract_x
_atom_site_fract_y
_atom_site_fract_z
Nd1 Nd 0.0134 0.0000 0.2787
Nd2 Nd 0.0905 0.5000 0.9630
Nd3 Nd 0.1499 0.5000 0.4855
Nd4 Nd 0.2089 0.0000 0.8094
Tl1 Tl 0.1811 0.0000 0.2498
Cu1 Cu 0.0000 0.5000 0.5000

---

# Nd6Tl2Cu (PBE, optimized geometry)
# DOS at the Fermi energy = 13.14 states/eV/f.u.
# total moment = 0.00 μB/cell
# energy = -4.37 eV per atom
# relative energy among the computed polymorphs = 0.0 meV per atom
data_Nd6Tl2Cu
_chemical_formula_sum 'Nd6 Tl2 Cu1'
_cell_length_a 9.0662
_cell_length_b 9.0662
_cell_length_c 3.8374
_cell_angle_alpha 90.00
_cell_angle_beta 90.00
_cell_angle_gamma 120.00
_space_group_name_H-M_alt 'P -6 2 m'
_space_group_IT_number 189
_space_group_name_Hall 'P -6 -2'
loop_
_atom_site_label
_atom_site_type_symbol
_atom_site_fract_x
_atom_site_fract_y
_atom_site_fract_z
Nd1 Nd 0.0000 0.2483 0.0000
Nd2 Nd 0.0000 0.5997 0.5000
Tl1 Tl 0.3333 0.6667 0.0000
Cu1 Cu 0.0000 0.0000 0.5000

---

# Nd2TlCu (PBE, optimized geometry)
# DOS at the Fermi energy = 4.19 states/eV/f.u.
# total moment = 0.00 μB/cell
# energy = -4.20 eV per atom
data_Nd2TlCu
_chemical_formula_sum 'Nd8 Tl4 Cu4'
_cell_length_a 7.5418
_cell_length_b 7.7572
_cell_length_c 7.6336
_cell_angle_alpha 90.00
_cell_angle_beta 90.00
_cell_angle_gamma 90.00
_space_group_name_H-M_alt 'P n m a'
_space_group_IT_number 62
_space_group_name_Hall '-P 2ac 2n'
loop_
_atom_site_label
_atom_site_type_symbol
_atom_site_fract_x
_atom_site_fract_y
_atom_site_fract_z
Nd1 Nd 0.1791 0.0045 0.1835
Tl1 Tl 0.0016 0.7500 0.4921
Cu1 Cu 0.1105 0.2500 0.8871

---

# Nd2TlCu (PBE, optimized geometry)
# DOS at the Fermi energy = 4.09 states/eV/f.u.
# total moment = 0.25 μB/cell
# energy = -4.25 eV per atom
data_Nd2TlCu
_chemical_formula_sum 'Nd2 Tl1 Cu1'
_cell_length_a 3.6693
_cell_length_b 3.6693
_cell_length_c 7.8924
_cell_angle_alpha 90.00
_cell_angle_beta 90.00
_cell_angle_gamma 90.00
_space_group_name_H-M_alt 'P 4/m m m'
_space_group_IT_number 123
_space_group_name_Hall '-P 4 2'
loop_
_atom_site_label
_atom_site_type_symbol
_atom_site_fract_x
_atom_site_fract_y
_atom_site_fract_z
Nd1 Nd 0.0000 0.0000 0.2218
Tl1 Tl 0.5000 0.5000 0.5000
Cu1 Cu 0.5000 0.5000 0.0000

---

# Nd6TlCu (PBE, optimized geometry)
# DOS at the Fermi energy = 11.19 states/eV/f.u.
# total moment = 0.00 μB/cell
# energy = -4.29 eV per atom
data_Nd6TlCu
_chemical_formula_sum 'Nd12 Tl2 Cu2'
_cell_length_a 7.2463
_cell_length_b 11.8586
_cell_length_c 6.8807
_cell_angle_alpha 90.00
_cell_angle_beta 115.46
_cell_angle_gamma 90.00
_space_group_name_H-M_alt 'C 1 2/m 1'
_space_group_IT_number 12
_space_group_name_Hall '-C 2y'
loop_
_atom_site_label
_atom_site_type_symbol
_atom_site_fract_x
_atom_site_fract_y
_atom_site_fract_z
Nd1 Nd 0.2080 0.2045 0.2418
Nd2 Nd 0.2330 0.0000 0.7805
Tl1 Tl 0.0000 0.5000 0.5000
Cu1 Cu 0.0000 0.0000 0.0000

---

# Nd3Tl4Cu2 (PBE, optimized geometry)
# DOS at the Fermi energy = 5.86 states/eV/f.u.
# total moment = 0.00 μB/cell
# energy = -3.80 eV per atom
data_Nd3Tl4Cu2
_chemical_formula_sum 'Nd6 Tl8 Cu4'
_cell_length_a 11.2731
_cell_length_b 4.8376
_cell_length_c 9.2887
_cell_angle_alpha 90.00
_cell_angle_beta 113.79
_cell_angle_gamma 90.00
_space_group_name_H-M_alt 'C 1 2/m 1'
_space_group_IT_number 12
_space_group_name_Hall '-C 2y'
loop_
_atom_site_label
_atom_site_type_symbol
_atom_site_fract_x
_atom_site_fract_y
_atom_site_fract_z
Nd1 Nd 0.0000 0.0000 0.0000
Nd2 Nd 0.1680 0.5000 0.6504
Tl1 Tl 0.0446 0.0000 0.3662
Tl2 Tl 0.2322 0.5000 0.0877
Cu1 Cu 0.1025 0.5000 0.2799

---

# Nd4TlCu (PBE, optimized geometry)
# DOS at the Fermi energy = 7.16 states/eV/f.u.
# total moment = 0.00 μB/cell
# energy = -4.40 eV per atom
# relative energy among the computed polymorphs = 0.0 meV per atom
data_Nd4TlCu
_chemical_formula_sum 'Nd8 Tl2 Cu2'
_cell_length_a 5.5304
_cell_length_b 7.2890
_cell_length_c 8.9137
_cell_angle_alpha 90.00
_cell_angle_beta 99.68
_cell_angle_gamma 90.00
_space_group_name_H-M_alt 'P 1 21/m 1'
_space_group_IT_number 11
_space_group_name_Hall '-P 2yb'
loop_
_atom_site_label
_atom_site_type_symbol
_atom_site_fract_x
_atom_site_fract_y
_atom_site_fract_z
Nd1 Nd 0.1409 0.2500 0.0428
Nd2 Nd 0.2044 0.7500 0.3708
Nd3 Nd 0.3312 0.5198 0.7385
Tl1 Tl 0.2254 0.2500 0.4151
Cu1 Cu 0.3700 0.7500 0.0506

---

Question: Which value of total moment does entry 4 give?
Answer: 0.00 μB/cell

---

Question: DOS at the Fermi energy of number 5 (Nd4Tl3Cu)?
Answer: 8.62 states/eV/f.u.

---

Repeat the fourth record exactly.
# NdTl2Cu (PBE, optimized geometry)
# DOS at the Fermi energy = 3.20 states/eV/f.u.
# total moment = 0.00 μB/cell
# energy = -3.49 eV per atom
# relative energy among the computed polymorphs = 22.1 meV per atom
data_NdTl2Cu
_chemical_formula_sum 'Nd1 Tl2 Cu1'
_cell_length_a 4.6954
_cell_length_b 4.6954
_cell_length_c 4.5291
_cell_angle_alpha 90.00
_cell_angle_beta 90.00
_cell_angle_gamma 90.00
_space_group_name_H-M_alt 'P 4/m m m'
_space_group_IT_number 123
_space_group_name_Hall '-P 4 2'
loop_
_atom_site_label
_atom_site_type_symbol
_atom_site_fract_x
_atom_site_fract_y
_atom_site_fract_z
Nd1 Nd 0.0000 0.0000 0.0000
Tl1 Tl 0.0000 0.5000 0.5000
Cu1 Cu 0.5000 0.5000 0.0000

---

Question: Which of these has the lowest energy?
Answer: Nd8Tl2Cu